## BeCoPt2 (GGA-PBEsol)

Data for crystalline BeCoPt2 at its relaxed geometry.

The space group is P4/mmm (No. 123) and the conventional cell measures 2.7120, 2.7120 and 6.5876 Å, with angles of 90.00, 90.00 and 90.00 degrees. Symmetry generates all atoms from Be at (0.0000, 0.0000, 0.0000), Co at (0.0000, 0.0000, 0.5000) and Pt at (0.5000, 0.5000, 0.2235).

As for the calculated formation energy: -0.40 eV/atom. For the calculated density, the calculation gives 15.7 Mg/m³.

---

## BeCo2Pt (GGA-PBEsol)

Data for crystalline BeCo2Pt at its relaxed geometry.

The space group is Pmmm (No. 47) and the conventional cell measures 2.7754, 3.8222 and 4.1776 Å, with angles of 90.00, 90.00 and 90.00 degrees. Symmetry generates all atoms from Be at (0.0000, 0.0000, 0.0000), Co at (0.0000, 0.5000, 0.5000), Co at (0.5000, 0.0000, 0.5000) and Pt at (0.5000, 0.5000, 0.0000).

As for the calculated formation energy: -0.16 eV/atom. For the calculated density, the calculation gives 12.1 Mg/m³.

---

## Be4CoPt (GGA-PBEsol)

Data for crystalline Be4CoPt at its relaxed geometry.

The space group is F-43m (No. 216) and the conventional cell measures 5.9934, 5.9934 and 5.9934 Å, with angles of 90.00, 90.00 and 90.00 degrees. Symmetry generates all atoms from Be at (0.1243, 0.1243, 0.1243), Co at (0.2500, 0.2500, 0.7500) and Pt at (0.0000, 0.0000, 0.5000).

As for the calculated formation energy: -0.41 eV/atom. For the calculated density, the calculation gives 8.9 Mg/m³.

---

| no. | total moment (μB/f.u.) |
| --- | --- |
| 1 | 2.39 |
| 2 | 3.20 |
| 3 | 0.00 |